# LiPm12Co6 PBE optimized geometry
# Calculated volume (A^3/atom): 26.1
# Distance to the lowest polymorph of the same formula (eV per atom): 0.000
# Formation energy (eV per atom): -0.09
data_LiPm12Co6
_space_group_name_H-M_alt 'I m -3'
_space_group_IT_number 204
_space_group_name_Hall '-I 2 2 3'
_cell_length_a 9.9711
_cell_length_b 9.9711
_cell_length_c 9.9711
_cell_angle_alpha 90.00
_cell_angle_beta 90.00
_cell_angle_gamma 90.00
loop_
_atom_site_label
_atom_site_type_symbol
_atom_site_fract_x
_atom_site_fract_y
_atom_site_fract_z
_atom_site_occupancy
Li1 Li 0.0000 0.0000 0.0000 1
Pm1 Pm 0.0000 0.1954 0.3081 1
Co1 Co 0.0000 0.3886 0.5000 1

***

# BeTe2Pt PBE optimized geometry
# Calculated volume (A^3/atom): 21.2
# ΔE_f (raw) (eV/atom): 0.38
data_BeTe2Pt
_space_group_name_H-M_alt 'I m m m'
_space_group_IT_number 71
_space_group_name_Hall '-I 2 2'
_cell_length_a 3.7047
_cell_length_b 5.9948
_cell_length_c 7.6394
_cell_angle_alpha 90.00
_cell_angle_beta 90.00
_cell_angle_gamma 90.00
loop_
_atom_site_label
_atom_site_type_symbol
_atom_site_fract_x
_atom_site_fract_y
_atom_site_fract_z
_atom_site_occupancy
Be1 Be 0.0000 0.0000 0.0000 1
Te1 Te 0.0000 0.5000 0.2713 1
Pt1 Pt 0.0000 0.0000 0.5000 1

***

# ScCo2Ru PBE optimized geometry
# Calculated volume (A^3/atom): 13.5
# Distance to the lowest polymorph of the same formula (eV per atom): 0.111
# Formation energy (eV per atom): 0.02
data_ScCo2Ru
_space_group_name_H-M_alt 'I -4 m 2'
_space_group_IT_number 119
_space_group_name_Hall 'I -4 -2'
_cell_length_a 3.7640
_cell_length_b 3.7640
_cell_length_c 7.6197
_cell_angle_alpha 90.00
_cell_angle_beta 90.00
_cell_angle_gamma 90.00
loop_
_atom_site_label
_atom_site_type_symbol
_atom_site_fract_x
_atom_site_fract_y
_atom_site_fract_z
_atom_site_occupancy
Sc1 Sc 0.0000 0.0000 0.0000 1
Co1 Co 0.0000 0.0000 0.5000 1
Co2 Co 0.0000 0.5000 0.7500 1
Ru1 Ru 0.0000 0.5000 0.2500 1

***

# InRe2O8 PBE optimized geometry
# Calculated volume (A^3/atom): 20.6
# Distance to the lowest polymorph of the same formula (eV per atom): 0.038
# ΔE_f (raw) (eV/atom): -1.42
data_InRe2O8
_space_group_name_H-M_alt 'C 1 2/m 1'
_space_group_IT_number 12
_space_group_name_Hall '-C 2y'
_cell_length_a 11.4907
_cell_length_b 7.2098
_cell_length_c 5.6198
_cell_angle_alpha 90.00
_cell_angle_beta 103.46
_cell_angle_gamma 90.00
loop_
_atom_site_label
_atom_site_type_symbol
_atom_site_fract_x
_atom_site_fract_y
_atom_site_fract_z
_atom_site_occupancy
In1 In 0.0000 0.0000 0.0000 1
Re1 Re 0.1864 0.0000 0.6645 1
O1 O 0.1187 0.1867 0.7889 1
O2 O 0.1484 0.0000 0.3369 1
O3 O 0.1603 0.5000 0.2272 1

***

# Nd2Hg4Au PBE optimized geometry
# Calculated volume (A^3/atom): 25.6
# Formation energy (eV per atom): -0.40
data_Nd2Hg4Au
_space_group_name_H-M_alt 'R -3 m'
_space_group_IT_number 166
_space_group_name_Hall '-R 3 2"'
_cell_length_a 5.2793
_cell_length_b 5.2793
_cell_length_c 22.2708
_cell_angle_alpha 90.00
_cell_angle_beta 90.00
_cell_angle_gamma 120.00
loop_
_atom_site_label
_atom_site_type_symbol
_atom_site_fract_x
_atom_site_fract_y
_atom_site_fract_z
_atom_site_occupancy
Nd1 Nd 0.0000 0.0000 0.2244 1
Hg1 Hg 0.0000 0.0000 0.0734 1
Hg2 Hg 0.0000 0.0000 0.3685 1
Au1 Au 0.0000 0.0000 0.5000 1

***

# NdZn8Pd4 PBE optimized geometry
# Calculated volume (A^3/atom): 16.5
# Formation energy (eV per atom): -0.45
data_NdZn8Pd4
_space_group_name_H-M_alt 'I 4/m m m'
_space_group_IT_number 139
_space_group_name_Hall '-I 4 2'
_cell_length_a 8.8376
_cell_length_b 8.8376
_cell_length_c 5.4859
_cell_angle_alpha 90.00
_cell_angle_beta 90.00
_cell_angle_gamma 90.00
loop_
_atom_site_label
_atom_site_type_symbol
_atom_site_fract_x
_atom_site_fract_y
_atom_site_fract_z
_atom_site_occupancy
Nd1 Nd 0.0000 0.0000 0.0000 1
Zn1 Zn 0.0000 0.2186 0.5000 1
Zn2 Zn 0.0000 0.3497 0.0000 1
Pd1 Pd 0.2500 0.2500 0.2500 1

***

# Ca2HW PBE optimized geometry
# Calculated volume (A^3/atom): 23.4
# Distance to the lowest polymorph of the same formula (eV per atom): 0.345
data_Ca2HW
_space_group_name_H-M_alt 'F m -3 m'
_space_group_IT_number 225
_space_group_name_Hall '-F 4 2 3'
_cell_length_a 7.2024
_cell_length_b 7.2024
_cell_length_c 7.2024
_cell_angle_alpha 90.00
_cell_angle_beta 90.00
_cell_angle_gamma 90.00
loop_
_atom_site_label
_atom_site_type_symbol
_atom_site_fract_x
_atom_site_fract_y
_atom_site_fract_z
_atom_site_occupancy
Ca1 Ca 0.2500 0.2500 0.2500 1
H1 H 0.0000 0.0000 0.0000 1
W1 W 0.0000 0.0000 0.5000 1

***

# AcEu2Zn PBE optimized geometry
# Calculated volume (A^3/atom): 34.0
# Distance to the lowest polymorph of the same formula (eV per atom): 0.142
# Formation energy (eV per atom): 0.04
data_AcEu2Zn
_space_group_name_H-M_alt 'P 4/m m m'
_space_group_IT_number 123
_space_group_name_Hall '-P 4 2'
_cell_length_a 4.9566
_cell_length_b 4.9566
_cell_length_c 5.5331
_cell_angle_alpha 90.00
_cell_angle_beta 90.00
_cell_angle_gamma 90.00
loop_
_atom_site_label
_atom_site_type_symbol
_atom_site_fract_x
_atom_site_fract_y
_atom_site_fract_z
_atom_site_occupancy
Ac1 Ac 0.0000 0.0000 0.0000 1
Eu1 Eu 0.0000 0.5000 0.5000 1
Zn1 Zn 0.5000 0.5000 0.0000 1

***

# Na2SnH6O6 PBE optimized geometry
# Total DFT energy (no corrections) (eV/atom): -5.086
# Calculated volume (A^3/atom): 9.9
data_Na2SnH6O6
_space_group_name_H-M_alt 'R -3'
_space_group_IT_number 148
_space_group_name_Hall '-R 3'
_cell_length_a 6.4457
_cell_length_b 6.4457
_cell_length_c 12.3262
_cell_angle_alpha 90.00
_cell_angle_beta 90.00
_cell_angle_gamma 120.00
loop_
_atom_site_label
_atom_site_type_symbol
_atom_site_fract_x
_atom_site_fract_y
_atom_site_fract_z
_atom_site_occupancy
Na1 Na 0.0000 0.0000 0.1792 1
Sn1 Sn 0.0000 0.0000 0.5000 1
H1 H 0.0021 0.4319 0.3110 1
O1 O 0.0256 0.5625 0.2600 1

***

# TmGeTe PBE optimized geometry
# Calculated volume (A^3/atom): 30.6
# ΔE_f (raw) (eV/atom): -0.65
data_TmGeTe
_space_group_name_H-M_alt 'C 1 2/m 1'
_space_group_IT_number 12
_space_group_name_Hall '-C 2y'
_cell_length_a 14.5213
_cell_length_b 3.9037
_cell_length_c 6.7454
_cell_angle_alpha 90.00
_cell_angle_beta 106.37
_cell_angle_gamma 90.00
loop_
_atom_site_label
_atom_site_type_symbol
_atom_site_fract_x
_atom_site_fract_y
_atom_site_fract_z
_atom_site_occupancy
Tm1 Tm 0.0947 0.0000 0.2130 1
Ge1 Ge 0.1992 0.5000 0.5196 1
Te1 Te 0.0841 0.5000 0.8494 1

***

# ZrMo2Pb PBE optimized geometry
# Calculated volume (A^3/atom): 20.3
# Formation energy (eV per atom): 0.14
data_ZrMo2Pb
_space_group_name_H-M_alt 'P 4 m m'
_space_group_IT_number 99
_space_group_name_Hall 'P 4 -2'
_cell_length_a 3.2073
_cell_length_b 3.2073
_cell_length_c 7.8965
_cell_angle_alpha 90.00
_cell_angle_beta 90.00
_cell_angle_gamma 90.00
loop_
_atom_site_label
_atom_site_type_symbol
_atom_site_fract_x
_atom_site_fract_y
_atom_site_fract_z
_atom_site_occupancy
Zr1 Zr 0.0000 0.0000 0.0000 1
Mo1 Mo 0.0000 0.0000 0.4105 1
Mo2 Mo 0.5000 0.5000 0.2373 1
Pb1 Pb 0.5000 0.5000 0.6789 1

***

# Tb6Ho2Er3Pu PBE optimized geometry
# Calculated volume (A^3/atom): 31.0
# Formation energy (eV per atom): 0.04
data_Tb6Ho2Er3Pu
_space_group_name_H-M_alt 'C 1 2/m 1'
_space_group_IT_number 12
_space_group_name_Hall '-C 2y'
_cell_length_a 6.1134
_cell_length_b 10.5905
_cell_length_c 11.6538
_cell_angle_alpha 90.00
_cell_angle_beta 100.09
_cell_angle_gamma 90.00
loop_
_atom_site_label
_atom_site_type_symbol
_atom_site_fract_x
_atom_site_fract_y
_atom_site_fract_z
_atom_site_occupancy
Tb1 Tb 0.2467 0.0000 0.2511 1
Tb2 Tb 0.2484 0.1650 0.7490 1
Ho1 Ho 0.0000 0.3334 0.5000 1
Er1 Er 0.0000 0.1671 0.0000 1
Er2 Er 0.0000 0.5000 0.0000 1
Pu1 Pu 0.0000 0.0000 0.5000 1

***

# NiTePd PBE optimized geometry
# Calculated volume (A^3/atom): 17.0
# Distance to the lowest polymorph of the same formula (eV per atom): 0.060
# ΔE_f (raw) (eV/atom): -0.19
data_NiTePd
_space_group_name_H-M_alt 'P 1 21/m 1'
_space_group_IT_number 11
_space_group_name_Hall '-P 2yb'
_cell_length_a 4.1078
_cell_length_b 4.0401
_cell_length_c 6.2178
_cell_angle_alpha 90.00
_cell_angle_beta 98.87
_cell_angle_gamma 90.00
loop_
_atom_site_label
_atom_site_type_symbol
_atom_site_fract_x
_atom_site_fract_y
_atom_site_fract_z
_atom_site_occupancy
Ni1 Ni 0.2489 0.2500 0.4965 1
Te1 Te 0.2004 0.7500 0.2343 1
Pd1 Pd 0.3188 0.7500 0.8045 1

***

# AlRe2Ni PBE optimized geometry
# Calculated volume (A^3/atom): 14.0
# Formation energy (eV per atom): -0.03
data_AlRe2Ni
_space_group_name_H-M_alt 'C 1 2/m 1'
_space_group_IT_number 12
_space_group_name_Hall '-C 2y'
_cell_length_a 9.0050
_cell_length_b 2.7619
_cell_length_c 4.6040
_cell_angle_alpha 90.00
_cell_angle_beta 101.94
_cell_angle_gamma 90.00
loop_
_atom_site_label
_atom_site_type_symbol
_atom_site_fract_x
_atom_site_fract_y
_atom_site_fract_z
_atom_site_occupancy
Al1 Al 0.0000 0.0000 0.0000 1
Re1 Re 0.2470 0.0000 0.7453 1
Ni1 Ni 0.0000 0.5000 0.5000 1